[1]
Computed, not measured: a relaxed structure of Ac2GaNi4Ge3 at the PBE level of DFT.

Cell and atoms, written as POSCAR:
```
Ac2GaNi4Ge3
1.0
4.2895 0.0000 0.0000
0.0000 4.2895 0.0000
0.0000 0.0000 10.0055
Ac Ga Ni Ge
2 1 4 3
Cartesian
0.0000 2.1448 2.4721
2.1448 0.0000 7.5334
0.0000 0.0000 5.0027
0.0000 0.0000 0.0000
0.0000 2.1448 6.2914
2.1448 0.0000 3.7140
2.1448 2.1448 0.0000
0.0000 2.1448 8.8054
2.1448 0.0000 1.2000
2.1448 2.1448 5.0027
```

Computed properties:
The space-group type is No. 115. For the formation energy, the calculation gives -6.07 eV per formula unit.

***

[2]
Computed, not measured: a relaxed structure of Ac3Ga2Ni6Ge at the PBE level of DFT.

Cell and atoms, written as POSCAR:
```
Ac3Ga2Ni6Ge
1.0
5.9800 0.0000 0.0000
-2.9900 5.1789 0.0000
0.0000 0.0000 7.9752
Ac Ga Ni Ge
3 2 6 1
Cartesian
0.0000 0.0000 0.0000
0.0000 3.4526 5.6352
2.9900 1.7263 2.3401
0.0000 3.4526 0.8995
2.9900 1.7263 7.0757
0.0000 2.0368 2.8974
-1.2261 4.1604 2.8974
1.7639 1.0184 5.0778
1.2261 4.1604 2.8974
4.2161 1.0184 5.0778
2.9900 3.1420 5.0778
0.0000 0.0000 3.9876
```

Computed properties:
The space-group type is No. 164. For the formation energy, the calculation gives -3.97 eV per formula unit.

***

[3]
Computed, not measured: a relaxed structure of AcGaNi3Ge at the PBE level of DFT.

Cell and atoms, written as POSCAR:
```
AcGaNi3Ge
1.0
3.1553 -5.9765 0.0000
3.1553 5.9765 0.0000
0.0000 0.0000 5.8229
Ac Ga Ni Ge
2 2 6 2
Cartesian
3.1553 3.2985 4.3672
3.1553 -3.2985 1.4557
3.1553 0.0545 4.3672
3.1553 -0.0545 1.4557
1.2826 0.0000 0.0000
1.2826 0.0000 2.9114
3.1553 2.2821 1.4557
3.1553 -2.2821 4.3672
5.0279 0.0000 0.0000
5.0279 0.0000 2.9114
3.1553 4.6084 1.4557
3.1553 -4.6084 4.3672
```

Computed properties:
The space-group type is No. 63. For the formation energy, the calculation gives -2.03 eV per formula unit.

***

[4]
Computed, not measured: a relaxed structure of Ac2Ga3Ni4Ge at the PBE level of DFT.

Cell and atoms, written as POSCAR:
```
Ac2Ga3Ni4Ge
1.0
4.3555 0.0000 0.0000
0.0000 4.3555 0.0000
0.0000 0.0000 9.8065
Ac Ga Ni Ge
2 3 4 1
Cartesian
0.0000 2.1778 2.4114
2.1778 0.0000 7.3951
0.0000 2.1778 8.6892
2.1778 0.0000 1.1172
2.1778 2.1778 4.9032
0.0000 0.0000 0.0000
0.0000 2.1778 6.1403
2.1778 0.0000 3.6662
2.1778 2.1778 0.0000
0.0000 0.0000 4.9032
```

Computed properties:
The space-group type is No. 115. For the formation energy, the calculation gives -5.29 eV per formula unit.

***

no.,total DFT energy (no corrections) (eV/atom),magnetic moment (μB/f.u.)
1,-5.430,0.0
2,-5.138,0.0
3,-5.189,0.0
4,-5.033,0.0